{
  "formula": "AlHg3",
  "functional": "PBEsol",
  "state": "optimized geometry",
  "lattice_angstrom": [[-1.761, 3.059, 5.054], [-1.505, -5.742, 2.951], [7.957, -0.504, 3.078]],
  "species": ["Hg", "Hg", "Hg", "Hg", "Hg", "Hg", "Hg", "Hg", "Hg", "Hg", "Hg", "Hg", "Al", "Al", "Al", "Al"],
  "frac_coords": [[0.867, 0.707, 0.963], [0.633, 0.207, 0.537], [0.133, 0.003, 0.750], [0.633, 0.497, 0.250], [0.367, 0.793, 0.463], [0.133, 0.293, 0.037], [0.867, 0.997, 0.250], [0.633, 0.207, 0.963], [0.133, 0.293, 0.463], [0.367, 0.503, 0.750], [0.867, 0.707, 0.537], [0.367, 0.793, 0.037], [0.910, 0.382, 0.750], [0.590, 0.882, 0.750], [0.410, 0.118, 0.250], [0.090, 0.618, 0.250]],
  "final_energy_ev_per_atom": -1.3992
}